(1)
The following is a DFT calculation (meta-GGA SCAN) of a crystal of CsLaBi2Cl relaxed with PBEsol.

The total energy is -49.023 eV per atom. Its density of states at the Fermi level is 0.327 states/eV per atom. Its raw formation energy is 187.8 meV/atom.

It has space group P4/mmm (No. 123), with a = 6.0270 Å, b = 6.0270 Å, c = 5.6595 Å, α = 90.00°, β = 90.00° and γ = 90.00°. The inequivalent atoms are Cs at (0.0000, 0.0000, 0.0000), La at (0.5000, 0.5000, 0.5000), Bi at (0.0000, 0.5000, 0.0000) and Cl at (0.0000, 0.0000, 0.5000).

---

(2)
The following is a DFT calculation (meta-GGA SCAN) of a crystal of Cs2LiBiCl6 relaxed with PBEsol.

The total energy is -22.204 eV per atom. Its density of states at the Fermi level is 0.000 states/eV per atom. Its raw formation energy is -1758.7 meV/atom.

It has space group Fm-3m (No. 225), with a = 10.4914 Å, b = 10.4914 Å, c = 10.4914 Å, α = 90.00°, β = 90.00° and γ = 90.00°. The inequivalent atoms are Cs at (0.2500, 0.2500, 0.2500), Li at (0.0000, 0.0000, 0.0000), Bi at (0.0000, 0.0000, 0.5000) and Cl at (0.0000, 0.0000, 0.2436).

---

(3)
The following is a DFT calculation (meta-GGA SCAN) of a crystal of CuBiCl2 relaxed with PBEsol.

The total energy is -27.219 eV per atom. Its density of states at the Fermi level is 0.538 states/eV per atom. Its raw formation energy is 215.0 meV/atom.

It has space group Fm-3m (No. 225), with a = 6.8867 Å, b = 6.8867 Å, c = 6.8867 Å, α = 90.00°, β = 90.00° and γ = 90.00°. The inequivalent atoms are Cu at (0.0000, 0.0000, 0.0000), Bi at (0.0000, 0.0000, 0.5000) and Cl at (0.2500, 0.2500, 0.2500).

---

(4)
The following is a DFT calculation (meta-GGA SCAN) of a crystal of KCuBiCl2 relaxed with PBEsol.

The total energy is -23.374 eV per atom. Its density of states at the Fermi level is 0.729 states/eV per atom. Its raw formation energy is 238.9 meV/atom.

It has space group P4/mmm (No. 123), with a = 5.2736 Å, b = 5.2736 Å, c = 5.3058 Å, α = 90.00°, β = 90.00° and γ = 90.00°. The inequivalent atoms are K at (0.0000, 0.0000, 0.0000), Cu at (0.0000, 0.0000, 0.5000), Bi at (0.5000, 0.5000, 0.5000) and Cl at (0.0000, 0.5000, 0.0000).

---

(5)
The following is a DFT calculation (meta-GGA SCAN) of a crystal of CuBiS2Cl relaxed with PBEsol.

The total energy is -24.219 eV per atom. Its density of states at the Fermi level is 0.413 states/eV per atom. Its raw formation energy is -16.3 meV/atom.

It has space group P4/mmm (No. 123), with a = 4.6012 Å, b = 4.6012 Å, c = 4.4669 Å, α = 90.00°, β = 90.00° and γ = 90.00°. The inequivalent atoms are Cu at (0.0000, 0.0000, 0.0000), Bi at (0.5000, 0.5000, 0.5000), S at (0.0000, 0.5000, 0.0000) and Cl at (0.0000, 0.0000, 0.5000).

---

(6)
The following is a DFT calculation (meta-GGA SCAN) of a crystal of ErBi2ClO4 relaxed with PBEsol.

The total energy is -32.191 eV per atom. Its density of states at the Fermi level is 0.000 states/eV per atom. Its raw formation energy is -2140.7 meV/atom.

It has space group P4/mmm (No. 123), with a = 3.8289 Å, b = 3.8289 Å, c = 8.8035 Å, α = 90.00°, β = 90.00° and γ = 90.00°. The inequivalent atoms are Er at (0.0000, 0.0000, 0.0000), Bi at (0.5000, 0.5000, 0.2817), Cl at (0.0000, 0.0000, 0.5000) and O at (0.0000, 0.5000, 0.1528).

---

(7)
The following is a DFT calculation (meta-GGA SCAN) of a crystal of BiClF8 relaxed with PBEsol.

The total energy is -12.792 eV per atom. Its density of states at the Fermi level is 0.000 states/eV per atom. Its raw formation energy is -1303.9 meV/atom.

It has space group P-1 (No. 2), with a = 5.2714 Å, b = 5.7670 Å, c = 10.5448 Å, α = 90.40°, β = 93.28° and γ = 93.04°. The inequivalent atoms are Bi at (0.0000, 0.0000, 0.0000), Bi at (0.0000, 0.0000, 0.5000), Cl at (0.4018, 0.3775, 0.2460), F at (0.1126, 0.2104, 0.3491), F at (0.1292, 0.7179, 0.4173), F at (0.1671, 0.8210, 0.1415), F at (0.1712, 0.3126, 0.0748), F at (0.2976, 0.9597, 0.8922), F at (0.3348, 0.0615, 0.5986), F at (0.3963, 0.4896, 0.8413) and F at (0.4315, 0.5706, 0.6228).

---

(8)
The following is a DFT calculation (meta-GGA SCAN) of a crystal of BiClF3 relaxed with PBEsol.

The total energy is -19.621 eV per atom. Its density of states at the Fermi level is 0.646 states/eV per atom. Its raw formation energy is -185.6 meV/atom.

It has space group Pm-3m (No. 221), with a = 4.3613 Å, b = 4.3613 Å, c = 4.3613 Å, α = 90.00°, β = 90.00° and γ = 90.00°. The inequivalent atoms are Bi at (0.0000, 0.0000, 0.0000), Cl at (0.5000, 0.5000, 0.5000) and F at (0.0000, 0.5000, 0.5000).

---

What did the fifth record say?
The following is a DFT calculation (meta-GGA SCAN) of a crystal of CuBiS2Cl relaxed with PBEsol.

The total energy is -24.219 eV per atom. Its density of states at the Fermi level is 0.413 states/eV per atom. Its raw formation energy is -16.3 meV/atom.

It has space group P4/mmm (No. 123), with a = 4.6012 Å, b = 4.6012 Å, c = 4.4669 Å, α = 90.00°, β = 90.00° and γ = 90.00°. The inequivalent atoms are Cu at (0.0000, 0.0000, 0.0000), Bi at (0.5000, 0.5000, 0.5000), S at (0.0000, 0.5000, 0.0000) and Cl at (0.0000, 0.0000, 0.5000).

---

Copy entry 7 word for word.
The following is a DFT calculation (meta-GGA SCAN) of a crystal of BiClF8 relaxed with PBEsol.

The total energy is -12.792 eV per atom. Its density of states at the Fermi level is 0.000 states/eV per atom. Its raw formation energy is -1303.9 meV/atom.

It has space group P-1 (No. 2), with a = 5.2714 Å, b = 5.7670 Å, c = 10.5448 Å, α = 90.40°, β = 93.28° and γ = 93.04°. The inequivalent atoms are Bi at (0.0000, 0.0000, 0.0000), Bi at (0.0000, 0.0000, 0.5000), Cl at (0.4018, 0.3775, 0.2460), F at (0.1126, 0.2104, 0.3491), F at (0.1292, 0.7179, 0.4173), F at (0.1671, 0.8210, 0.1415), F at (0.1712, 0.3126, 0.0748), F at (0.2976, 0.9597, 0.8922), F at (0.3348, 0.0615, 0.5986), F at (0.3963, 0.4896, 0.8413) and F at (0.4315, 0.5706, 0.6228).